A geometry-optimized NbZnPt3 structure, computed with PBE.

Lattice parameters (Å, degrees): 4.567 4.567 4.567 90.00 90.00 90.00
Sites, in units of the cell vectors:
1 Nb 0.000 0.000 0.000
2 Zn 0.500 0.500 0.500
3 Pt 0.000 0.500 0.500
4 Pt 0.500 0.000 0.500
5 Pt 0.500 0.500 0.000

Values from the calculation:
For the density of states at the Fermi level, the calculation gives 7.6 states/eV/f.u. The value obtained for the energy of formation from the pure elements is 3.5 eV per formula unit. The value obtained for the relative energy among the computed polymorphs is 0.0000 eV per atom. Its space group is Pm-3m. The uncorrected energy comes out at -5.192 eV per atom. The crystal system is cubic. The calculation puts the total moment at 2.583 μB per formula unit.